(1)
A plane-wave DFT calculation with PBE was carried out for a relaxed structure of Si2PPt.

Cell and atoms, written as CIF:
```
data_Si2PPt
_chemical_formula_sum 'Si2 P1 Pt1'
_cell_length_a 5.415
_cell_length_b 5.415
_cell_length_c 5.415
_cell_angle_alpha 151.01
_cell_angle_beta 128.66
_cell_angle_gamma 60.04
_space_group_name_H-M_alt 'P 1'
_space_group_IT_number 1
_space_group_name_Hall 'P 1'
loop_
_atom_site_label
_atom_site_type_symbol
_atom_site_fract_x
_atom_site_fract_y
_atom_site_fract_z
_atom_site_occupancy
Si1 Si 0.245 0.245 0.000 1
Si2 Si 0.755 0.755 0.000 1
P1 P 0.500 0.000 0.500 1
Pt1 Pt 0.000 0.500 0.500 1
```

Results
The energy relative to the elements, uncorrected comes out at 23.30 kJ/mol of atoms. For the total magnetization, the calculation gives 0.0 μB/f.u. The value obtained for the density of states at the Fermi level is 0.507 states/eV/atom.

(2)
A plane-wave DFT calculation with PBE was carried out for a relaxed structure of SiP2Pt.

Cell and atoms, written as CIF:
```
data_SiP2Pt
_chemical_formula_sum 'Si1 P2 Pt1'
_cell_length_a 4.380
_cell_length_b 4.380
_cell_length_c 4.380
_cell_angle_alpha 60.00
_cell_angle_beta 60.00
_cell_angle_gamma 60.00
_space_group_name_H-M_alt 'P 1'
_space_group_IT_number 1
_space_group_name_Hall 'P 1'
loop_
_atom_site_label
_atom_site_type_symbol
_atom_site_fract_x
_atom_site_fract_y
_atom_site_fract_z
_atom_site_occupancy
Si1 Si 0.000 0.000 0.000 1
P1 P 0.250 0.250 0.250 1
P2 P 0.750 0.750 0.750 1
Pt1 Pt 0.500 0.500 0.500 1
```

Results
The energy relative to the elements, uncorrected comes out at 36.10 kJ/mol of atoms. For the total magnetization, the calculation gives 0.0 μB/f.u. For the polymorph energy (0 for the lowest one), the calculation gives 658 meV per atom. The value obtained for the density of states at the Fermi level is 0.804 states/eV/atom.

(3)
A plane-wave DFT calculation with PBE was carried out for a relaxed structure of SiPPt.

Cell and atoms, written as CIF:
```
data_SiPPt
_chemical_formula_sum 'Si4 P4 Pt4'
_cell_length_a 5.926
_cell_length_b 5.979
_cell_length_c 6.043
_cell_angle_alpha 90.00
_cell_angle_beta 113.26
_cell_angle_gamma 90.00
_space_group_name_H-M_alt 'P 1'
_space_group_IT_number 1
_space_group_name_Hall 'P 1'
loop_
_atom_site_label
_atom_site_type_symbol
_atom_site_fract_x
_atom_site_fract_y
_atom_site_fract_z
_atom_site_occupancy
Si1 Si 0.161 0.000 0.121 1
Si2 Si 0.334 0.499 0.441 1
Si3 Si 0.666 0.999 0.559 1
Si4 Si 0.839 0.500 0.879 1
P1 P 0.162 0.744 0.623 1
P2 P 0.332 0.245 0.942 1
P3 P 0.668 0.745 0.058 1
P4 P 0.838 0.244 0.377 1
Pt1 Pt 0.264 0.125 0.542 1
Pt2 Pt 0.273 0.624 0.039 1
Pt3 Pt 0.727 0.124 0.961 1
Pt4 Pt 0.736 0.625 0.458 1
```

Results
The energy relative to the elements, uncorrected comes out at -53.82 kJ/mol of atoms. For the total magnetization, the calculation gives 0.0 μB/f.u. For the polymorph energy (0 for the lowest one), the calculation gives 0 meV per atom. The value obtained for the density of states at the Fermi level is 0.020 states/eV/atom.

(4)
A plane-wave DFT calculation with PBE was carried out for a relaxed structure of SiP2Pt2.

Cell and atoms, written as CIF:
```
data_SiP2Pt2
_chemical_formula_sum 'Si1 P2 Pt2'
_cell_length_a 5.447
_cell_length_b 5.447
_cell_length_c 5.447
_cell_angle_alpha 131.81
_cell_angle_beta 131.81
_cell_angle_gamma 70.53
_space_group_name_H-M_alt 'P 1'
_space_group_IT_number 1
_space_group_name_Hall 'P 1'
loop_
_atom_site_label
_atom_site_type_symbol
_atom_site_fract_x
_atom_site_fract_y
_atom_site_fract_z
_atom_site_occupancy
Si1 Si 0.000 0.000 0.000 1
P1 P 0.250 0.750 0.500 1
P2 P 0.750 0.250 0.500 1
Pt1 Pt 0.351 0.351 0.000 1
Pt2 Pt 0.649 0.649 0.000 1
```

Results
The energy relative to the elements, uncorrected comes out at 15.72 kJ/mol of atoms. For the total magnetization, the calculation gives 0.0 μB/f.u. For the polymorph energy (0 for the lowest one), the calculation gives 201 meV per atom. The value obtained for the density of states at the Fermi level is 0.482 states/eV/atom.